No. 1
## Rb2Ag2AsP (PBE)

Data for a relaxed structure of Rb2Ag2AsP.

```
Rb2Ag2AsP
1.0
-2.909 -0.192 -3.554
3.280 -1.928 -2.581
-2.405 -7.251 2.360
Ag As Rb P
2 1 2 1
Cartesian
-3.841 -7.292 0.565 Ag
-0.747 -8.160 1.052 Ag
-0.424 -1.277 0.416 As
-1.588 -4.787 1.558 Rb
-0.636 -3.538 -2.261 Rb
-1.828 -7.131 -1.091 P
```

Values from the calculation:
VASP energy: -3.053 eV per atom
Crystal system: tetragonal
Volume: 28.16 Å³ per atom



No. 2
## TmTcAsO (PBE)

Data for a relaxed structure of TmTcAsO.

```
TmTcAsO
1.0
4.129 0.000 0.000
0.000 6.011 0.000
0.000 0.000 5.599
O Tm Tc As
2 2 2 2
Cartesian
2.064 4.408 2.288 O
2.064 1.603 5.088 O
0.000 1.872 4.781 Tm
0.000 4.139 1.982 Tm
2.064 5.889 0.710 Tc
2.064 0.122 3.510 Tc
0.000 1.154 2.040 As
0.000 4.857 4.839 As
```

Values from the calculation:
Excess energy over the best structure of this formula in the dataset: 2.07 eV/f.u.
VASP energy: -7.383 eV per atom
Crystal system: orthorhombic
Total magnetization: 0.021 μB/atom
Volume: 17.37 Å³ per atom



No. 3
## Tm4CdInC2 (PBE)

Data for a relaxed structure of Tm4CdInC2.

```
Tm4CdInC2
1.0
-2.114 2.794 0.490
0.381 -1.384 -3.233
-12.407 -9.870 2.763
C Tm Cd In
2 4 1 1
Cartesian
-10.599 -6.010 1.324 C
-4.372 -1.057 -0.063 C
-2.542 -1.655 -1.526 Tm
-4.134 -3.288 0.921 Tm
-10.766 -8.197 0.306 Tm
-8.273 -6.581 1.843 Tm
0.000 0.000 0.000 Cd
-6.654 -4.926 -0.610 In
```

Values from the calculation:
VASP energy: -5.389 eV per atom
Crystal system: hexagonal
Total magnetization: 0.098 μB/atom
Volume: 21.80 Å³ per atom



No. 4
## Li2YLuIn2Ag2 (PBE)

Data for a relaxed structure of Li2YLuIn2Ag2.

```
Li2YLuIn2Ag2
1.0
4.843 0.000 0.000
0.000 4.843 0.000
0.000 0.000 6.851
Li In Ag Lu Y
2 2 2 1 1
Cartesian
2.422 0.000 1.726 Li
0.000 2.422 5.126 Li
0.000 0.000 3.426 In
2.422 2.422 0.000 In
2.422 0.000 5.095 Ag
0.000 2.422 1.756 Ag
2.422 2.422 3.426 Lu
0.000 0.000 0.000 Y
```

Values from the calculation:
VASP energy: -3.620 eV per atom
Crystal system: tetragonal
Total magnetization: 0.000 μB/atom
Volume: 20.09 Å³ per atom



No. 5
## SmErAg2Ge2 (PBE)

Data for a relaxed structure of SmErAg2Ge2.

```
SmErAg2Ge2
1.0
4.504 0.000 0.000
-2.252 3.900 0.000
0.000 0.000 7.358
Sm Ge Ag Er
1 2 2 1
Cartesian
0.000 0.000 1.778 Sm
0.000 2.600 3.975 Ge
2.252 1.300 0.219 Ge
2.252 1.300 3.509 Ag
0.000 2.600 6.970 Ag
0.000 0.000 5.470 Er
```

Values from the calculation:
VASP energy: -4.638 eV per atom
Crystal system: trigonal
Total magnetization: 0.000 μB/atom
Volume: 21.54 Å³ per atom



No. 6
## LaGdB4 (PBE)

Data for a relaxed structure of LaGdB4.

```
LaGdB4
1.0
-1.518 -3.952 3.178
-2.300 2.578 4.011
-0.416 -1.076 -5.166
La B Gd
1 4 1
Cartesian
-1.909 -0.687 3.594 La
-1.607 -2.024 1.146 B
-2.628 -0.426 0.877 B
-2.250 -3.696 0.484 B
-1.985 1.246 1.538 B
0.000 0.000 0.000 Gd
```

Values from the calculation:
Excess energy over the best structure of this formula in the dataset: 0.25 eV/f.u.
VASP energy: -6.366 eV per atom
Crystal system: orthorhombic
Total magnetization: 0.001 μB/atom
Volume: 13.08 Å³ per atom



No. 7
## Cs2LiNbI6 (PBE)

Data for a relaxed structure of Cs2LiNbI6.

```
Cs2LiNbI6
1.0
-4.120 4.120 5.973
4.120 -4.120 5.973
4.120 4.120 -5.973
I Li Cs Nb
6 1 2 1
Cartesian
1.865 2.334 5.973 I
2.254 1.786 0.000 I
0.000 0.000 9.064 I
2.334 -1.865 5.973 I
1.786 5.985 0.000 I
0.000 0.000 2.882 I
0.000 0.000 5.973 Li
0.000 4.120 2.987 Cs
4.120 0.000 2.987 Cs
0.000 0.000 0.000 Nb
```

Values from the calculation:
VASP energy: -3.291 eV per atom
Crystal system: tetragonal
Total magnetization: 0.200 μB/atom
Volume: 40.55 Å³ per atom



No. 8
## NdScTc (PBE)

Data for a relaxed structure of NdScTc.

```
NdScTc
1.0
1.022 -3.166 3.259
-0.084 1.183 4.504
-3.355 -1.649 2.778
Nd Tc Sc
1 1 1
Cartesian
-0.604 -0.908 2.635 Nd
-1.813 -2.725 7.905 Tc
0.000 0.000 0.000 Sc
```

Values from the calculation:
Formation energy from the elements: 0.7731 eV/atom
Excess energy over the best structure of this formula in the dataset: 0.00 eV/f.u.
VASP energy: -6.378 eV per atom
Crystal system: cubic
Total magnetization: 0.002 μB/atom
Volume: 23.81 Å³ per atom



No. 9
## CsTaAg (PBE)

Data for a relaxed structure of CsTaAg.

```
CsTaAg
1.0
-2.787 -4.418 1.712
-4.015 0.552 3.714
-5.244 -0.692 -1.498
Ag Cs Ta
1 1 1
Cartesian
-3.011 -1.140 0.982 Ag
0.000 0.000 0.000 Cs
-9.034 -3.419 2.946 Ta
```

Values from the calculation:
Excess energy over the best structure of this formula in the dataset: 1.62 eV/f.u.
VASP energy: -2.663 eV per atom
Crystal system: cubic
Total magnetization: 1.183 μB/atom
Volume: 39.15 Å³ per atom



No. 10
## MoAs2 (PBE)

Data for a relaxed structure of MoAs2.

```
MoAs2
1.0
7.163 0.000 0.000
0.000 3.301 0.000
0.000 0.000 8.466
As Mo
8 4
Cartesian
0.361 2.476 2.987 As
2.673 0.825 3.557 As
0.908 2.476 7.790 As
3.942 2.476 1.246 As
4.490 2.476 4.909 As
3.220 0.825 7.220 As
6.801 0.825 5.479 As
6.254 0.825 0.676 As
5.483 2.476 7.307 Mo
5.261 0.825 3.074 Mo
1.901 2.476 5.392 Mo
1.680 0.825 1.159 Mo
```

Values from the calculation:
VASP energy: -6.764 eV per atom
Crystal system: orthorhombic
Total magnetization: 0.002 μB/atom
Volume: 16.68 Å³ per atom



No. 11
## NdCdPO (PBE)

Data for a relaxed structure of NdCdPO.

```
NdCdPO
1.0
4.078 0.000 0.000
0.000 6.095 0.000
0.000 0.000 6.907
O P Cd Nd
2 2 2 2
Cartesian
2.039 1.577 2.602 O
2.039 4.518 6.055 O
0.000 1.734 5.633 P
0.000 4.361 2.179 P
0.000 5.523 6.718 Cd
0.000 0.571 3.265 Cd
2.039 2.704 0.616 Nd
2.039 3.391 4.069 Nd
```

Values from the calculation:
VASP energy: -5.384 eV per atom
Crystal system: orthorhombic
Total magnetization: 0.000 μB/atom
Volume: 21.46 Å³ per atom



No. 12
## ErBiSeO2 (PBE)

Data for a relaxed structure of ErBiSeO2.

```
ErBiSeO2
1.0
-1.916 1.916 6.298
1.916 -1.916 6.298
1.916 1.916 -6.298
Bi O Er Se
1 2 1 1
Cartesian
0.000 0.000 0.300 Bi
1.916 0.000 3.191 O
0.000 1.916 3.191 O
0.000 0.000 4.151 Er
0.000 0.000 8.060 Se
```

Values from the calculation:
VASP energy: -5.556 eV per atom
Crystal system: tetragonal
Total magnetization: 0.000 μB/atom
Volume: 18.49 Å³ per atom